! GGA-PBE TbPm3Ga, optimized geometry; values from VASP
! space group = C2/m
! density of states at the Fermi level = 1.362 states/eV/atom
! E_tot = -4.584 eV per atom
! energy above the most stable polymorph in this dataset = 0 meV per atom
! total magnetic moment = 0.00 Bohr magnetons per cell
! formation energy from the elements = -0.20 eV/atom
&SYSTEM
  ibrav = 0, nat = 10, ntyp = 3
/
ATOMIC_SPECIES
Tb 158.93 Tb.upf
Pm 145.00 Pm.upf
Ga 69.72 Ga.upf
CELL_PARAMETERS angstrom
6.4724 -1.8612 0.0000
6.4724 1.8612 0.0000
-0.8575 0.0000 12.5882
ATOMIC_POSITIONS crystal
Tb 0.2239 0.2239 0.2438
Tb 0.7761 0.7761 0.7562
Pm 0.0360 0.0360 0.6964
Pm 0.1331 0.1331 0.9538
Pm 0.3650 0.3650 0.5250
Pm 0.6350 0.6350 0.4750
Pm 0.8669 0.8669 0.0462
Pm 0.9640 0.9640 0.3036
Ga 0.4412 0.4412 0.8656
Ga 0.5588 0.5588 0.1344